# CoSbPt2 | Alexandria | PBE | relaxed
# Total energy ... -23.05 eV/f.u.
# Calculated volume ... 17.177 Å³ per atom
# ΔE_f (raw) ... 0.06 eV per atom
data_CoSbPt2
_chemical_formula_sum 'Co4 Sb4 Pt8'
_cell_length_a 3.8645
_cell_length_b 3.8645
_cell_length_c 18.4025
_cell_angle_alpha 90.00
_cell_angle_beta 90.00
_cell_angle_gamma 90.00
_symmetry_space_group_name_H-M 'P 1'
_symmetry_Int_Tables_number 1
loop_
_symmetry_equiv_pos_as_xyz
'x,y,z'
loop_
_atom_site_label
_atom_site_fract_x
_atom_site_fract_y
_atom_site_fract_z
Co1 0.0000 0.0000 0.0000
Co2 0.0000 0.5000 0.2500
Co3 0.5000 0.0000 0.7500
Co4 0.5000 0.5000 0.5000
Sb1 0.0000 0.0000 0.5000
Sb2 0.0000 0.5000 0.7500
Sb3 0.5000 0.0000 0.2500
Sb4 0.5000 0.5000 0.0000
Pt1 0.2377 0.2500 0.1250
Pt2 0.2500 0.7377 0.3750
Pt3 0.2500 0.7623 0.8750
Pt4 0.2623 0.2500 0.6250
Pt5 0.7377 0.7500 0.6250
Pt6 0.7500 0.2377 0.8750
Pt7 0.7500 0.2623 0.3750
Pt8 0.7623 0.7500 0.1250

=====

# HoNpSi2O8 | Alexandria | PBE | relaxed
# Total energy ... -103.85 eV/f.u.
# Calculated volume ... 12.320 Å³ per atom
# ΔE_f (raw) ... -2.99 eV per atom
data_HoNpSi2O8
_chemical_formula_sum 'Ho1 Np1 Si2 O8'
_cell_length_a 5.7848
_cell_length_b 5.7848
_cell_length_c 5.7848
_cell_angle_alpha 106.62
_cell_angle_beta 106.62
_cell_angle_gamma 115.33
_symmetry_space_group_name_H-M 'P 1'
_symmetry_Int_Tables_number 1
loop_
_symmetry_equiv_pos_as_xyz
'x,y,z'
loop_
_atom_site_label
_atom_site_fract_x
_atom_site_fract_y
_atom_site_fract_z
Ho1 0.0000 0.0000 0.0000
Np1 0.2500 0.7500 0.5000
Si1 0.5000 0.5000 0.0000
Si2 0.7500 0.2500 0.5000
O1 0.3307 0.1463 0.8157
O2 0.3307 0.5150 0.1843
O3 0.3962 0.0750 0.3212
O4 0.4850 0.6693 0.8157
O5 0.7537 0.0750 0.6788
O6 0.8537 0.6693 0.1843
O7 0.9250 0.2463 0.3212
O8 0.9250 0.6038 0.6788

=====

# NdCu6Au6 | Alexandria | PBE | relaxed
# Total energy ... -52.07 eV/f.u.
# Calculated volume ... 16.386 Å³ per atom
data_NdCu6Au6
_chemical_formula_sum 'Nd1 Cu6 Au6'
_cell_length_a 6.9059
_cell_length_b 6.9059
_cell_length_c 6.9059
_cell_angle_alpha 135.71
_cell_angle_beta 98.26
_cell_angle_gamma 98.08
_symmetry_space_group_name_H-M 'P 1'
_symmetry_Int_Tables_number 1
loop_
_symmetry_equiv_pos_as_xyz
'x,y,z'
loop_
_atom_site_label
_atom_site_fract_x
_atom_site_fract_y
_atom_site_fract_z
Nd1 0.0000 0.0000 0.0000
Cu1 0.0000 0.0000 0.5000
Cu2 0.0000 0.5000 0.0000
Cu3 0.2352 0.7352 0.5000
Cu4 0.5000 0.0000 0.0000
Cu5 0.5000 0.5000 0.5000
Cu6 0.7648 0.2648 0.5000
Au1 0.1912 0.5000 0.6912
Au2 0.3380 0.3380 0.0000
Au3 0.3440 0.0000 0.3440
Au4 0.6560 0.0000 0.6560
Au5 0.6620 0.6620 0.0000
Au6 0.8088 0.5000 0.3088

=====

# Pm5Sm12Er2 | Alexandria | PBE | relaxed
# Total energy ... -87.30 eV/f.u.
# Calculated volume ... 34.159 Å³ per atom
# E above lowest polymorph ... 0 meV/atom
data_Pm5Sm12Er2
_chemical_formula_sum 'Pm5 Sm12 Er2'
_cell_length_a 9.2102
_cell_length_b 9.2102
_cell_length_c 8.7831
_cell_angle_alpha 92.38
_cell_angle_beta 92.38
_cell_angle_gamma 60.71
_symmetry_space_group_name_H-M 'P 1'
_symmetry_Int_Tables_number 1
loop_
_symmetry_equiv_pos_as_xyz
'x,y,z'
loop_
_atom_site_label
_atom_site_fract_x
_atom_site_fract_y
_atom_site_fract_z
Pm1 0.0000 0.0000 0.0000
Pm2 0.2317 0.2317 0.0683
Pm3 0.2928 0.2928 0.4705
Pm4 0.7072 0.7072 0.5295
Pm5 0.7683 0.7683 0.9317
Sm1 0.0330 0.6718 0.2616
Sm2 0.0724 0.0724 0.3781
Sm3 0.1747 0.5644 0.8200
Sm4 0.3282 0.9670 0.7384
Sm5 0.4356 0.8253 0.1800
Sm6 0.4429 0.4429 0.1585
Sm7 0.5571 0.5571 0.8415
Sm8 0.5644 0.1747 0.8200
Sm9 0.6718 0.0330 0.2616
Sm10 0.8253 0.4356 0.1800
Sm11 0.9276 0.9276 0.6219
Sm12 0.9670 0.3282 0.7384
Er1 0.3294 0.6706 0.5000
Er2 0.6706 0.3294 0.5000